1.
Sc3Ga4Ir2: relaxed, PBE.

Its total energy is -6.14 eV per atom. As for the energy above the lowest structure with this stoichiometry: 67.3 kJ/mol of formula units. The calculation puts the density of states at the Fermi level at 0.195 states/eV/atom.

The space group is C2/m (No. 12) and the conventional cell measures 9.4892, 4.3352 and 8.0400 Å, with angles of 90.00, 105.65 and 90.00 degrees. The asymmetric unit holds Sc at (0.0000, 0.0000, 0.0000), Sc at (0.1213, 0.5000, 0.3790), Ga at (0.0846, 0.0000, 0.6545), Ga at (0.1844, 0.5000, 0.0532) and Ir at (0.2290, 0.5000, 0.7473).



2.
Sc3Ga3Ir2: relaxed, PBE.

Its total energy is -6.46 eV per atom. The calculation puts the density of states at the Fermi level at 0.744 states/eV/atom.

The space group is Pnma (No. 62) and the conventional cell measures 7.1037, 15.5748 and 5.3424 Å, with angles of 90.00, 90.00 and 90.00 degrees. The asymmetric unit holds Sc at (0.0377, 0.1122, 0.1115), Sc at (0.1708, 0.2500, 0.6491), Ga at (0.1695, 0.7500, 0.6541), Ga at (0.1802, 0.0286, 0.5969) and Ir at (0.1171, 0.6173, 0.3791).



3.
Sc5GaIr: relaxed, PBE.

Its total energy is -6.65 eV per atom. The calculation puts the density of states at the Fermi level at 1.056 states/eV/atom.

The space group is C2/c (No. 15) and the conventional cell measures 8.1188, 8.2673 and 9.1325 Å, with angles of 90.00, 93.83 and 90.00 degrees. The asymmetric unit holds Sc at (0.0000, 0.1454, 0.2500), Sc at (0.1595, 0.2169, 0.6592), Sc at (0.1780, 0.4115, 0.0106), Ga at (0.0000, 0.4864, 0.2500) and Ir at (0.0000, 0.0000, 0.0000).



4.
Sc4Ga3Ir: relaxed, PBE.

Its total energy is -6.12 eV per atom. As for the energy above the lowest structure with this stoichiometry: 0.0 kJ/mol of formula units. The calculation puts the density of states at the Fermi level at 0.485 states/eV/atom.

The space group is P4/mmm (No. 123) and the conventional cell measures 3.3214, 3.3214 and 13.3715 Å, with angles of 90.00, 90.00 and 90.00 degrees. The asymmetric unit holds Sc at (0.0000, 0.0000, 0.1146), Sc at (0.0000, 0.0000, 0.3699), Ga at (0.5000, 0.5000, 0.2421), Ga at (0.5000, 0.5000, 0.5000) and Ir at (0.5000, 0.5000, 0.0000).



5.
Sc2Ga4Ir3: relaxed, PBE.

Its total energy is -6.27 eV per atom. The calculation puts the density of states at the Fermi level at 0.800 states/eV/atom.

The space group is Fmmm (No. 69) and the conventional cell measures 5.3960, 9.3366 and 12.3333 Å, with angles of 90.00, 90.00 and 90.00 degrees. The asymmetric unit holds Sc at (0.0000, 0.0000, 0.1200), Ga at (0.0000, 0.1641, 0.3324), Ir at (0.0000, 0.0000, 0.5000) and Ir at (0.2500, 0.2500, 0.0000).



6.
Sc3GaIr4: relaxed, PBE.

Its total energy is -8.06 eV per atom. The calculation puts the density of states at the Fermi level at 0.506 states/eV/atom.

The space group is Pmmm (No. 47) and the conventional cell measures 3.3350, 4.4056 and 8.8064 Å, with angles of 90.00, 90.00 and 90.00 degrees. The asymmetric unit holds Sc at (0.0000, 0.0000, 0.0000), Sc at (0.0000, 0.5000, 0.2571), Ga at (0.0000, 0.0000, 0.5000), Ir at (0.5000, 0.0000, 0.2596), Ir at (0.5000, 0.5000, 0.0000) and Ir at (0.5000, 0.5000, 0.5000).



7.
ScGaIr2: relaxed, PBE.

Its total energy is -7.56 eV per atom. The calculation puts the density of states at the Fermi level at 0.189 states/eV/atom.

The space group is P4/mmm (No. 123) and the conventional cell measures 4.2598, 4.2598 and 3.3942 Å, with angles of 90.00, 90.00 and 90.00 degrees. The asymmetric unit holds Sc at (0.0000, 0.0000, 0.0000), Ga at (0.5000, 0.5000, 0.0000) and Ir at (0.0000, 0.5000, 0.5000).



8.
Sc4GaIr3: relaxed, PBE.

Its total energy is -7.77 eV per atom. The calculation puts the density of states at the Fermi level at 0.394 states/eV/atom.

The space group is P4/mmm (No. 123) and the conventional cell measures 4.6479, 4.6479 and 6.4180 Å, with angles of 90.00, 90.00 and 90.00 degrees. The asymmetric unit holds Sc at (0.0000, 0.5000, 0.2448), Ga at (0.0000, 0.0000, 0.5000), Ir at (0.0000, 0.0000, 0.0000), Ir at (0.5000, 0.5000, 0.0000) and Ir at (0.5000, 0.5000, 0.5000).



| no. | energy relative to the elements (eV/f.u.) |
| --- | --- |
| 1 | -6.393 |
| 2 | -5.875 |
| 3 | -3.011 |
| 4 | -5.706 |
| 5 | -5.097 |
| 6 | -7.047 |
| 7 | -3.169 |
| 8 | -7.225 |